## BaSeN (PBE)

Data for a relaxed structure of BaSeN.

The value obtained for the raw formation energy is -1.2553 eV per atom. As for the spin magnetization: 0.00 μB per formula unit.

```
BaSeN
1.0
4.876 -2.925 0.000
4.876 2.925 0.000
-0.122 0.000 6.657
Ba Se N
2 2 2
Direct
0.173 0.173 0.250
0.827 0.827 0.750
0.167 0.167 0.758
0.833 0.833 0.242
0.449 0.449 0.458
0.551 0.551 0.542
```

## BaSe2N2 (PBE)

Data for a relaxed structure of BaSe2N2.

The value obtained for the raw formation energy is 0.7022 eV per atom. As for the spin magnetization: 1.98 μB per formula unit.

```
BaSe2N2
1.0
4.379 0.000 0.000
0.000 4.379 0.000
0.000 0.000 5.179
Ba Se N
1 2 2
Direct
0.000 0.000 0.000
0.500 0.500 0.000
0.500 0.500 0.500
0.000 0.500 0.500
0.500 0.000 0.500
```

## BaSe2N2 (PBE)

Data for a relaxed structure of BaSe2N2.

The value obtained for the raw formation energy is 1.7160 eV per atom. As for the spin magnetization: 3.41 μB per formula unit.

```
BaSe2N2
1.0
4.689 0.000 0.000
0.000 4.689 0.000
0.000 0.000 6.731
Ba Se N
1 2 2
Direct
0.000 0.000 0.000
0.000 0.000 0.500
0.500 0.500 0.500
0.000 0.500 0.000
0.500 0.000 0.000
```

## BaSe2N2 (PBE)

Data for a relaxed structure of BaSe2N2.

The value obtained for the raw formation energy is 0.7904 eV per atom. As for the spin magnetization: 1.45 μB per formula unit.

```
BaSe2N2
1.0
4.357 0.000 0.000
0.000 4.357 0.000
0.000 0.000 5.178
Ba Se N
1 2 2
Direct
0.000 0.000 0.000
0.000 0.500 0.500
0.500 0.000 0.500
0.500 0.500 0.000
0.500 0.500 0.500
```

## BaSe2N2 (PBE)

Data for a relaxed structure of BaSe2N2.

The value obtained for the raw formation energy is 1.8025 eV per atom. As for the spin magnetization: 8.00 μB per formula unit.

```
BaSe2N2
1.0
6.568 0.000 0.000
0.000 6.568 0.000
0.000 0.000 5.496
Ba Se N
1 2 2
Direct
0.000 0.000 0.000
0.000 0.500 0.000
0.500 0.000 0.000
0.000 0.000 0.500
0.500 0.500 0.500
```

## Ba2SeN2 (PBE)

Data for a relaxed structure of Ba2SeN2.

The value obtained for the raw formation energy is -1.0710 eV per atom. As for the spin magnetization: 1.13 μB per formula unit.

```
Ba2SeN2
1.0
7.673 -2.305 0.000
7.673 2.305 0.000
-1.708 0.000 7.584
Ba Se N
4 2 4
Direct
0.104 0.634 0.858
0.366 0.896 0.642
0.634 0.104 0.358
0.896 0.366 0.142
0.265 0.735 0.250
0.735 0.265 0.750
0.118 0.425 0.473
0.425 0.118 0.973
0.575 0.882 0.027
0.882 0.575 0.527
```

Copy entry 4 word for word.
## BaSe2N2 (PBE)

Data for a relaxed structure of BaSe2N2.

The value obtained for the raw formation energy is 0.7904 eV per atom. As for the spin magnetization: 1.45 μB per formula unit.

```
BaSe2N2
1.0
4.357 0.000 0.000
0.000 4.357 0.000
0.000 0.000 5.178
Ba Se N
1 2 2
Direct
0.000 0.000 0.000
0.000 0.500 0.500
0.500 0.000 0.500
0.500 0.500 0.000
0.500 0.500 0.500
```

> Which value of spin magnetization does entry 2 give?

1.98 μB per formula unit

> What is the formula in the sixth record?

Ba2SeN2